# GGA-PBE Ce2DyAs3, relaxed
# - total magnetization (μB/cell) = 1.37
# - ΔH_f (0 K) (meV/atom) = -1458
# - space-group type = Immm
# - DOS(E_F) (states/eV per cell) = 11.08
data_Ce2DyAs3
_space_group_name_H-M_alt 'P 1'
_space_group_IT_number 1
_cell_length_a 4.185
_cell_length_b 5.921
_cell_length_c 7.246
_cell_angle_alpha 114.11
_cell_angle_beta 106.78
_cell_angle_gamma 90.00
loop_
_space_group_symop_operation_xyz
'x,y,z'
loop_
_atom_site_label
_atom_site_fract_x
_atom_site_fract_y
_atom_site_fract_z
Dy1 0.500 0.500 0.500
As1 0.165 0.665 0.829
As2 0.500 0.000 0.500
As3 0.835 0.335 0.171
Ce1 0.833 0.833 0.166
Ce2 0.167 0.167 0.834